# CsBaScTl2

Crystalline CsBaScTl2 at its relaxed geometry (PBE, Alexandria via LeMat-Bulk).

Computed properties:
ρ (g/cm3): 5.98
DFT formation energy (eV per formula unit): 0.93
Calculated volume (Å³ per atom): 40.219
SG: P4/mmm (123)

Lattice parameters (Å, degrees): 5.7508 6.0805 5.7508 90.00 90.00 90.00
Last column: nearest neighbours and their distance in Å.
Sites, in units of the cell vectors:
Cs (0.0000, 0.5000, 0.0000)  2 Sc 3.04
Sc (0.0000, 0.0000, 0.0000)  4 Tl 2.88, 2 Cs 3.04
Tl (0.0000, 0.0000, 0.5000)  2 Sc 2.88
Tl (0.5000, 0.0000, 0.0000)  2 Sc 2.88
Ba (0.5000, 0.5000, 0.5000)  4 Cs 4.07, 8 Tl 4.18



# KSbTe4Pb2

Crystalline KSbTe4Pb2 at its relaxed geometry (PBE, Alexandria via LeMat-Bulk).

Computed properties:
ρ (g/cm3): 6.41
Formation energy from raw total energies (eV/atom): -0.40
Calculated volume (Å³ per atom): 35.148
SG: Imma (74)

Lattice parameters (Å, degrees): 9.2525 9.2525 9.2466 119.98 119.98 89.53
Last column: nearest neighbours and their distance in Å.
Sites, in units of the cell vectors:
K (0.0000, 0.5000, 0.0000)  6 Te 3.32-3.37
K (0.0000, 0.5000, 0.5000)  6 Te 3.32-3.37
Sb (0.5000, 0.5000, 0.5000)  6 Te 3.16-3.19
Sb (0.0000, 0.0000, 0.0000)  6 Te 3.16-3.19
Te (0.2543, 0.7698, 0.0120)  1 Sb 3.16, 3 Pb 3.21-3.36, 2 K 3.37
Te (0.7302, 0.2457, 0.4880)  1 Sb 3.16, 3 Pb 3.21-3.36, 2 K 3.37
Te (0.2698, 0.7543, 0.5120)  1 Sb 3.16, 3 Pb 3.21-3.36, 2 K 3.37
Te (0.7457, 0.2302, 0.9880)  1 Sb 3.16, 3 Pb 3.21-3.36, 2 K 3.37
Te (0.7456, 0.7545, 0.9857)  2 Sb 3.19, 3 Pb 3.20-3.38, 1 K 3.32
Te (0.7455, 0.7544, 0.5143)  2 Sb 3.19, 3 Pb 3.20-3.38, 1 K 3.32
Te (0.2545, 0.2456, 0.4857)  2 Sb 3.19, 3 Pb 3.20-3.38, 1 K 3.32
Te (0.2544, 0.2455, 0.0143)  2 Sb 3.19, 3 Pb 3.20-3.38, 1 K 3.32
Pb (0.5000, 0.0000, 0.0000)  6 Te 3.20-3.21
Pb (0.5000, 0.0000, 0.5000)  6 Te 3.20-3.21
Pb (0.0000, 0.0000, 0.5000)  6 Te 3.36-3.38
Pb (0.5000, 0.5000, 0.0000)  6 Te 3.36-3.38



# AsRuI2N

Crystalline AsRuI2N at its relaxed geometry (PBE, Alexandria via LeMat-Bulk).

Computed properties:
Energy relative to the lowest polymorph listed for this composition (eV per atom): 0.684
ρ (g/cm3): 5.91
Formation energy from raw total energies (eV/atom): 1.30
Calculated volume (Å³ per atom): 24.930
SG: P4/mmm (123)

Lattice parameters (Å, degrees): 5.8516 5.8516 3.6403 90.00 90.00 90.00
Last column: nearest neighbours and their distance in Å.
Sites, in units of the cell vectors:
I (0.0000, 0.5000, 0.0000)  2 As 2.93
I (0.5000, 0.0000, 0.0000)  2 As 2.93
Ru (0.5000, 0.5000, 0.5000)  8 I 3.45, 2 Ru 3.64
As (0.0000, 0.0000, 0.0000)  2 N 1.82
N (0.0000, 0.0000, 0.5000)  2 As 1.82



# NbCo2Ir

Crystalline NbCo2Ir at its relaxed geometry (PBE, Alexandria via LeMat-Bulk).

Computed properties:
Energy relative to the lowest polymorph listed for this composition (eV per atom): 0.602
ρ (g/cm3): 11.19
DFT formation energy (eV per formula unit): 1.19
Calculated volume (Å³ per atom): 14.957
SG: I-42d (122)

Lattice parameters (Å, degrees): 3.6960 3.6960 9.1408 78.34 78.34 90.00
Last column: nearest neighbours and their distance in Å.
Sites, in units of the cell vectors:
Nb (0.5000, 0.5000, 0.0000)  4 Co 2.60, 4 Ir 2.61
Nb (0.2500, 0.7500, 0.5000)  4 Co 2.60, 4 Ir 2.61
Ir (0.0000, 0.0000, 0.0000)  4 Co 2.51, 4 Nb 2.61
Ir (0.7500, 0.2500, 0.5000)  4 Co 2.51, 4 Nb 2.61
Co (0.6589, 0.1250, 0.2500)  2 Co 2.44, 2 Ir 2.51, 2 Nb 2.60
Co (0.0911, 0.6250, 0.2500)  2 Co 2.44, 2 Ir 2.51, 2 Nb 2.60
Co (0.3750, 0.3411, 0.7500)  2 Co 2.44, 2 Ir 2.51, 2 Nb 2.60
Co (0.8750, 0.9089, 0.7500)  2 Co 2.44, 2 Ir 2.51, 2 Nb 2.60



# TbZnHg

Crystalline TbZnHg at its relaxed geometry (PBE, Alexandria via LeMat-Bulk).

Computed properties:
ρ (g/cm3): 8.29
DFT formation energy (eV per formula unit): 1.06
Calculated volume (Å³ per atom): 28.362
SG: I4mm (107)

Lattice parameters (Å, degrees): 3.3654 3.3654 7.8804 102.33 102.33 90.00
Last column: nearest neighbours and their distance in Å.
Sites, in units of the cell vectors:
Zn (0.1472, 0.1472, 0.2943)  4 Hg 2.84, 1 Tb 2.93
Tb (0.9520, 0.9520, 0.9040)  1 Zn 2.93, 1 Hg 3.02
Hg (0.7508, 0.7508, 0.5017)  4 Zn 2.84, 1 Tb 3.02



# SbPdAu5

Crystalline SbPdAu5 at its relaxed geometry (PBE, Alexandria via LeMat-Bulk).

Computed properties:
ρ (g/cm3): 14.48
Formation energy from raw total energies (eV/atom): -0.01
Calculated volume (Å³ per atom): 19.876
SG: P4/mmm (123)

Lattice parameters (Å, degrees): 4.0819 4.0819 8.3501 90.00 90.00 90.00
Last column: nearest neighbours and their distance in Å.
Sites, in units of the cell vectors:
Sb (0.0000, 0.0000, 0.5000)  8 Au 2.91
Pd (0.0000, 0.0000, 0.0000)  12 Au 2.89-2.93
Au (0.5000, 0.0000, 0.7489)  6 Au 2.89-2.93, 2 Sb 2.91, 2 Pd 2.93
Au (0.0000, 0.5000, 0.7489)  6 Au 2.89-2.93, 2 Sb 2.91, 2 Pd 2.93
Au (0.5000, 0.5000, 0.0000)  4 Pd 2.89, 8 Au 2.93
Au (0.0000, 0.5000, 0.2511)  6 Au 2.89-2.93, 2 Sb 2.91, 2 Pd 2.93
Au (0.5000, 0.0000, 0.2511)  6 Au 2.89-2.93, 2 Sb 2.91, 2 Pd 2.93



# Rb4Hg3Br10

Crystalline Rb4Hg3Br10 at its relaxed geometry (PBE, Alexandria via LeMat-Bulk).

Computed properties:
ρ (g/cm3): 4.59
Formation energy from raw total energies (eV/atom): -1.03
Calculated volume (Å³ per atom): 37.123
SG: I4/mmm (139)

Lattice parameters (Å, degrees): 5.6740 5.6740 20.0088 98.15 98.15 90.00
Last column: nearest neighbours and their distance in Å.
Sites, in units of the cell vectors:
Rb (0.5677, 0.5677, 0.1354)  12 Br 3.88-4.01
Rb (0.4323, 0.4323, 0.8646)  12 Br 3.88-4.01
Rb (0.3033, 0.3033, 0.6067)  5 Br 3.47-3.63
Rb (0.6967, 0.6967, 0.3933)  5 Br 3.47-3.63
Hg (0.1452, 0.1452, 0.2904)  6 Br 2.73-2.89
Hg (0.8548, 0.8548, 0.7096)  6 Br 2.73-2.89
Hg (0.0000, 0.0000, 0.0000)  6 Br 2.80-2.84
Br (0.1388, 0.6388, 0.2776)  2 Hg 2.85
Br (0.0715, 0.0715, 0.1431)  2 Hg 2.80-2.89
Br (0.6388, 0.1388, 0.2776)  2 Hg 2.85
Br (0.8612, 0.3612, 0.7224)  2 Hg 2.85
Br (0.3612, 0.8612, 0.7224)  2 Hg 2.85
Br (0.9285, 0.9285, 0.8569)  2 Hg 2.80-2.89
Br (0.2149, 0.2149, 0.4297)  1 Hg 2.73
Br (0.7851, 0.7851, 0.5703)  1 Hg 2.73
Br (0.0000, 0.5000, 0.0000)  2 Hg 2.84
Br (0.5000, 0.0000, 0.0000)  2 Hg 2.84



# ZnPb3C

Crystalline ZnPb3C at its relaxed geometry (PBE, Alexandria via LeMat-Bulk).

Computed properties:
Energy relative to the lowest polymorph listed for this composition (eV per atom): 0.000
ρ (g/cm3): 8.87
DFT formation energy (eV per formula unit): 4.97
Calculated volume (Å³ per atom): 26.186
SG: Pm-3m (221)

Lattice parameters (Å, degrees): 5.0778 5.0778 5.0778 90.00 90.00 90.00
Last column: nearest neighbours and their distance in Å.
Sites, in units of the cell vectors:
Pb (0.0000, 0.5000, 0.0000)  2 C 2.54
Pb (0.0000, 0.0000, 0.5000)  2 C 2.54
Pb (0.5000, 0.0000, 0.0000)  2 C 2.54
Zn (0.5000, 0.5000, 0.5000)  12 Pb 3.59
C (0.0000, 0.0000, 0.0000)  6 Pb 2.54



Let's list DFT total energy in order: -2.58; -3.55; -3.77; -7.99; -1.72; -3.68; -2.30; -3.33 eV per atom.